No. 1
# La4TlInHg2 | Alexandria | PBE | relaxed
# Total magnetization, μB per formula unit: 1.69
# Energy, eV per atom: -3.66
data_La4TlInHg2
_chemical_formula_sum 'La12 Tl3 In3 Hg6'
_space_group_name_H-M_alt 'R -3 m'
_space_group_IT_number 166
_space_group_name_Hall '-R 3 2"'
_cell_length_a 5.5800
_cell_length_b 5.5800
_cell_length_c 27.3747
_cell_angle_alpha 90.00
_cell_angle_beta 90.00
_cell_angle_gamma 120.00
loop_
_atom_site_label
_atom_site_fract_x
_atom_site_fract_y
_atom_site_fract_z
La1 0.0000 0.0000 0.1247
La2 0.0000 0.0000 0.3748
Tl1 0.0000 0.0000 0.5000
In1 0.0000 0.0000 0.0000
Hg1 0.0000 0.0000 0.2505

***

No. 2
# LaTlInHg | Alexandria | PBE | relaxed
# Total magnetization, μB per formula unit: 0.00
# Energy, eV per atom: -2.97
data_LaTlInHg
_chemical_formula_sum 'La1 Tl1 In1 Hg1'
_space_group_name_H-M_alt 'P m m m'
_space_group_IT_number 47
_space_group_name_Hall '-P 2 2'
_cell_length_a 4.793
_cell_length_b 4.806
_cell_length_c 4.836
_cell_angle_alpha 90.00
_cell_angle_beta 90.00
_cell_angle_gamma 90.00
loop_
_atom_site_label
_atom_site_fract_x
_atom_site_fract_y
_atom_site_fract_z
La1 0.000 0.000 0.000
Tl1 0.500 0.500 0.000
In1 0.000 0.500 0.500
Hg1 0.500 0.000 0.500